(1)
Mn5FeCo4: optimized geometry, PBE-GGA. Values from VASP.

Quantum ESPRESSO input file:
```
&SYSTEM
  ibrav = 0, nat = 10, ntyp = 3
/
ATOMIC_SPECIES
Mn 54.94 Mn.upf
Fe 55.84 Fe.upf
Co 58.93 Co.upf
CELL_PARAMETERS angstrom
2.8455 0.0000 0.0000
0.0000 2.8455 0.0000
0.0000 0.0000 14.2299
ATOMIC_POSITIONS crystal
Mn 0.0000 0.0000 0.0000
Mn 0.0000 0.0000 0.2008
Mn 0.0000 0.0000 0.4018
Mn 0.0000 0.0000 0.5982
Mn 0.0000 0.0000 0.7992
Fe 0.5000 0.5000 0.5000
Co 0.5000 0.5000 0.1005
Co 0.5000 0.5000 0.3012
Co 0.5000 0.5000 0.6988
Co 0.5000 0.5000 0.8995
```

Computed properties:
- magnetic moment (μB per formula unit) = 19.2
- V (A^3/atom) = 11.52
- uncorrected energy (eV for the cell shown) = -82.496
- space group = P4/mmm, No. 123
- crystal system = tetragonal
- formation energy from the elements (kcal/mol of atoms) = 0.5

***

(2)
MnFeCo3: optimized geometry, PBE-GGA. Values from VASP.

Quantum ESPRESSO input file:
```
&SYSTEM
  ibrav = 0, nat = 5, ntyp = 3
/
ATOMIC_SPECIES
Mn 54.94 Mn.upf
Fe 55.84 Fe.upf
Co 58.93 Co.upf
CELL_PARAMETERS angstrom
4.2196 0.0000 0.0000
0.0000 4.2196 0.0000
0.0000 0.0000 4.2196
ATOMIC_POSITIONS crystal
Mn 0.0000 0.0000 0.0000
Fe 0.5000 0.5000 0.5000
Co 0.0000 0.5000 0.5000
Co 0.5000 0.0000 0.5000
Co 0.5000 0.5000 0.0000
```

Computed properties:
- magnetic moment (μB per formula unit) = 10.8
- V (A^3/atom) = 15.03
- uncorrected energy (eV for the cell shown) = -33.603
- space group = Pm-3m, No. 221
- crystal system = cubic
- formation energy from the elements (kcal/mol of atoms) = 24.7

***

(3)
MnFeCo2: optimized geometry, PBE-GGA. Values from VASP.

Quantum ESPRESSO input file:
```
&SYSTEM
  ibrav = 0, nat = 8, ntyp = 3
/
ATOMIC_SPECIES
Mn 54.94 Mn.upf
Fe 55.84 Fe.upf
Co 58.93 Co.upf
CELL_PARAMETERS angstrom
2.8157 0.0000 0.0000
0.0000 4.0853 0.0000
0.0000 0.0000 8.0311
ATOMIC_POSITIONS crystal
Mn 0.0000 0.0000 0.0000
Mn 0.5000 0.5000 0.0000
Fe 0.0000 0.0000 0.5000
Fe 0.5000 0.5000 0.5000
Co 0.0000 0.5000 0.2516
Co 0.0000 0.5000 0.7484
Co 0.5000 0.0000 0.2516
Co 0.5000 0.0000 0.7484
```

Computed properties:
- magnetic moment (μB per formula unit) = 8.6
- V (A^3/atom) = 11.55
- uncorrected energy (eV for the cell shown) = -63.108
- space group = Cmmm, No. 65
- crystal system = orthorhombic
- formation energy from the elements (kcal/mol of atoms) = 1.7

***

(4)
Mn4FeCo2: optimized geometry, PBE-GGA. Values from VASP.

Quantum ESPRESSO input file:
```
&SYSTEM
  ibrav = 0, nat = 14, ntyp = 3
/
ATOMIC_SPECIES
Mn 54.94 Mn.upf
Fe 55.84 Fe.upf
Co 58.93 Co.upf
CELL_PARAMETERS angstrom
-3.5103 3.5103 3.5193
3.5103 -3.5103 3.5193
3.5103 3.5103 -3.5193
ATOMIC_POSITIONS crystal
Mn 0.1259 0.0255 0.7448
Mn 0.1311 0.5307 0.7552
Mn 0.2807 0.3811 0.2552
Mn 0.4693 0.2245 0.6004
Mn 0.6189 0.8741 0.8996
Mn 0.6241 0.8689 0.3996
Mn 0.7755 0.3759 0.2448
Mn 0.9745 0.7193 0.1004
Fe 0.2500 0.7500 0.5000
Fe 0.5000 0.5000 0.0000
Co 0.3750 0.0040 0.1290
Co 0.7540 0.6250 0.6290
Co 0.8750 0.2460 0.8710
Co 0.9960 0.1250 0.3710
```

Computed properties:
- magnetic moment (μB per formula unit) = 10.9
- V (A^3/atom) = 12.39
- uncorrected energy (eV for the cell shown) = -111.927
- space group = I-42d, No. 122
- crystal system = tetragonal
- formation energy from the elements (kcal/mol of atoms) = 11.2

***

(5)
MnFeCo2: optimized geometry, PBE-GGA. Values from VASP.

Quantum ESPRESSO input file:
```
&SYSTEM
  ibrav = 0, nat = 4, ntyp = 3
/
ATOMIC_SPECIES
Mn 54.94 Mn.upf
Fe 55.84 Fe.upf
Co 58.93 Co.upf
CELL_PARAMETERS angstrom
2.8338 0.0000 0.0000
0.0000 2.8338 0.0000
0.0000 0.0000 5.7438
ATOMIC_POSITIONS crystal
Mn 0.0000 0.0000 0.0000
Fe 0.5000 0.5000 0.7365
Co 0.0000 0.0000 0.4979
Co 0.5000 0.5000 0.2460
```

Computed properties:
- magnetic moment (μB per formula unit) = 8.5
- V (A^3/atom) = 11.53
- uncorrected energy (eV for the cell shown) = -31.543
- space group = P4mm, No. 99
- crystal system = tetragonal
- formation energy from the elements (kcal/mol of atoms) = 1.7

***

(6)
MnFeCo2: optimized geometry, PBE-GGA. Values from VASP.

Quantum ESPRESSO input file:
```
&SYSTEM
  ibrav = 0, nat = 4, ntyp = 3
/
ATOMIC_SPECIES
Mn 54.94 Mn.upf
Fe 55.84 Fe.upf
Co 58.93 Co.upf
CELL_PARAMETERS angstrom
2.4584 0.0000 0.0000
0.0000 2.4584 0.0000
0.0000 0.0000 7.0529
ATOMIC_POSITIONS crystal
Mn 0.0000 0.0000 0.0000
Fe 0.0000 0.0000 0.5000
Co 0.5000 0.5000 0.2426
Co 0.5000 0.5000 0.7574
```

Computed properties:
- magnetic moment (μB per formula unit) = 3.1
- V (A^3/atom) = 10.66
- uncorrected energy (eV for the cell shown) = -31.593
- space group = P4/mmm, No. 123
- crystal system = tetragonal
- formation energy from the elements (kcal/mol of atoms) = 1.4

***

(7)
MnFeCo2: optimized geometry, PBE-GGA. Values from VASP.

Quantum ESPRESSO input file:
```
&SYSTEM
  ibrav = 0, nat = 4, ntyp = 3
/
ATOMIC_SPECIES
Mn 54.94 Mn.upf
Fe 55.84 Fe.upf
Co 58.93 Co.upf
CELL_PARAMETERS angstrom
2.4694 0.0000 0.0000
0.0000 2.4694 0.0000
0.0000 0.0000 7.1421
ATOMIC_POSITIONS crystal
Mn 0.0000 0.0000 0.0000
Fe 0.5000 0.5000 0.7478
Co 0.0000 0.0000 0.4926
Co 0.5000 0.5000 0.2474
```

Computed properties:
- magnetic moment (μB per formula unit) = 3.6
- V (A^3/atom) = 10.89
- uncorrected energy (eV for the cell shown) = -31.546
- space group = P4mm, No. 99
- crystal system = tetragonal
- formation energy from the elements (kcal/mol of atoms) = 1.7

***

(8)
Mn7Fe2Co: optimized geometry, PBE-GGA. Values from VASP.

Quantum ESPRESSO input file:
```
&SYSTEM
  ibrav = 0, nat = 10, ntyp = 3
/
ATOMIC_SPECIES
Mn 54.94 Mn.upf
Fe 55.84 Fe.upf
Co 58.93 Co.upf
CELL_PARAMETERS angstrom
3.2697 -7.3847 0.0000
3.2697 7.3847 0.0000
0.0000 0.0000 2.4510
ATOMIC_POSITIONS crystal
Mn 0.0000 0.0000 0.0000
Mn 0.1457 0.8543 0.5000
Mn 0.1898 0.4044 0.0000
Mn 0.4044 0.1898 0.0000
Mn 0.5956 0.8102 0.0000
Mn 0.8102 0.5956 0.0000
Mn 0.8543 0.1457 0.5000
Fe 0.2794 0.7206 0.0000
Fe 0.7206 0.2794 0.0000
Co 0.5000 0.5000 0.5000
```

Computed properties:
- magnetic moment (μB per formula unit) = 0.0
- V (A^3/atom) = 11.84
- uncorrected energy (eV for the cell shown) = -82.166
- space group = Cmmm, No. 65
- crystal system = orthorhombic
- formation energy from the elements (kcal/mol of atoms) = 14.0

***

What is the formula in the fifth record? MnFeCo2

***

What is the magnetic moment in the first record? 19.2 μB per formula unit

***

What is the uncorrected energy in the seventh record? -31.546 eV for the cell shown